(1)
The following is a PBE calculation of crystalline Ca3CrTc at its relaxed geometry, from Alexandria.

Calculated values
Distance to the lowest polymorph of the same formula: 0.0000 eV/atom
Formation energy from the elements: 888.3 meV per atom
Fermi-level density of states: 3.36 states/eV per cell

a = 5.450 Å, b = 5.450 Å, c = 5.450 Å
α = 90.00°, β = 90.00°, γ = 90.00°
Atoms (fractional coordinates):
Ca (0.000, 0.000, 0.500)
Ca (0.000, 0.500, 0.000)
Ca (0.500, 0.000, 0.000)
Cr (0.500, 0.500, 0.500)
Tc (0.000, 0.000, 0.000)

***

(2)
The following is a PBE calculation of crystalline CaCrTe2 at its relaxed geometry, from Alexandria.

Calculated values
Formation energy from raw total energies: -0.3770 eV per atom
Distance to the lowest polymorph of the same formula: 0.3762 eV/atom
Fermi-level density of states: 2.71 states/eV per cell

a = 3.740 Å, b = 3.740 Å, c = 7.536 Å
α = 90.00°, β = 90.00°, γ = 90.00°
Atoms (fractional coordinates):
Ca (0.000, 0.000, 0.000)
Cr (0.000, 0.000, 0.500)
Te (0.500, 0.500, 0.267)
Te (0.500, 0.500, 0.733)

***

(3)
The following is a PBE calculation of crystalline Ca4CrTe at its relaxed geometry, from Alexandria.

Calculated values
Formation energy from raw total energies: 0.3713 eV per atom
Fermi-level density of states: 5.52 states/eV per cell

a = 6.683 Å, b = 6.683 Å, c = 6.683 Å
α = 60.00°, β = 60.00°, γ = 60.00°
Atoms (fractional coordinates):
Ca (0.125, 0.125, 0.125)
Ca (0.125, 0.125, 0.625)
Ca (0.125, 0.625, 0.125)
Ca (0.625, 0.125, 0.125)
Cr (0.750, 0.750, 0.750)
Te (0.500, 0.500, 0.500)

***

(4)
The following is a PBE calculation of crystalline CaCr2Te at its relaxed geometry, from Alexandria.

Calculated values
Formation energy from raw total energies: 0.2964 eV per atom
Fermi-level density of states: 1.60 states/eV per cell

a = 4.456 Å, b = 4.442 Å, c = 4.737 Å
α = 90.00°, β = 90.32°, γ = 90.00°
Atoms (fractional coordinates):
Ca (0.000, 0.000, 0.000)
Cr (0.000, 0.500, 0.500)
Cr (0.500, 0.000, 0.500)
Te (0.500, 0.500, 0.000)

***

(5)
The following is a PBE calculation of crystalline CaCrTe2 at its relaxed geometry, from Alexandria.

Calculated values
Formation energy from raw total energies: -0.7059 eV per atom
Distance to the lowest polymorph of the same formula: 0.0474 eV/atom
Fermi-level density of states: 1.14 states/eV per cell

a = 4.310 Å, b = 4.310 Å, c = 6.090 Å
α = 90.00°, β = 90.00°, γ = 90.00°
Atoms (fractional coordinates):
Ca (0.000, 0.000, 0.000)
Cr (0.500, 0.500, 0.501)
Te (0.000, 0.000, 0.500)
Te (0.500, 0.500, 0.001)

***

(6)
The following is a PBE calculation of crystalline CaCrTe2 at its relaxed geometry, from Alexandria.

Calculated values
Formation energy from raw total energies: -0.4623 eV per atom
Distance to the lowest polymorph of the same formula: 0.2909 eV/atom
Fermi-level density of states: 1.29 states/eV per cell

a = 5.267 Å, b = 5.267 Å, c = 3.749 Å
α = 90.00°, β = 90.00°, γ = 90.00°
Atoms (fractional coordinates):
Ca (0.000, 0.000, 0.000)
Cr (0.500, 0.500, 0.000)
Te (0.000, 0.500, 0.500)
Te (0.500, 0.000, 0.500)

***

(7)
The following is a PBE calculation of crystalline CaCr3Te at its relaxed geometry, from Alexandria.

Calculated values
Formation energy from raw total energies: 0.9010 eV per atom
Distance to the lowest polymorph of the same formula: 0.0000 eV/atom
Fermi-level density of states: 1.81 states/eV per cell

a = 5.192 Å, b = 5.192 Å, c = 5.192 Å
α = 90.00°, β = 90.00°, γ = 90.00°
Atoms (fractional coordinates):
Ca (0.000, 0.000, 0.000)
Cr (0.000, 0.500, 0.500)
Cr (0.500, 0.000, 0.500)
Cr (0.500, 0.500, 0.000)
Te (0.500, 0.500, 0.500)

***

(8)
The following is a PBE calculation of crystalline CaCrTe2 at its relaxed geometry, from Alexandria.

Calculated values
Formation energy from raw total energies: -0.7186 eV per atom
Distance to the lowest polymorph of the same formula: 0.0347 eV/atom
Fermi-level density of states: 3.44 states/eV per cell

a = 7.385 Å, b = 7.385 Å, c = 7.385 Å
α = 33.87°, β = 33.87°, γ = 33.87°
Atoms (fractional coordinates):
Ca (0.000, 0.000, 0.000)
Cr (0.500, 0.500, 0.500)
Te (0.239, 0.239, 0.239)
Te (0.761, 0.761, 0.761)

***

(9)
The following is a PBE calculation of crystalline CaCrTe2 at its relaxed geometry, from Alexandria.

Calculated values
Formation energy from raw total energies: -0.6438 eV per atom
Distance to the lowest polymorph of the same formula: 0.1094 eV/atom
Fermi-level density of states: 1.65 states/eV per cell

a = 4.958 Å, b = 6.230 Å, c = 6.230 Å
α = 39.77°, β = 90.00°, γ = 90.00°
Atoms (fractional coordinates):
Ca (0.000, 0.000, 0.000)
Cr (0.500, 0.791, 0.791)
Te (0.000, 0.706, 0.706)
Te (0.500, 0.435, 0.435)

***

(10)
The following is a PBE calculation of crystalline CaCrTe2 at its relaxed geometry, from Alexandria.

Calculated values
Formation energy from raw total energies: -0.5419 eV per atom
Distance to the lowest polymorph of the same formula: 0.2113 eV/atom
Fermi-level density of states: 0.58 states/eV per cell

a = 5.653 Å, b = 5.653 Å, c = 5.653 Å
α = 135.49°, β = 109.69°, γ = 87.13°
Atoms (fractional coordinates):
Ca (0.000, 0.000, 0.000)
Cr (0.500, 0.500, 0.000)
Te (0.290, 0.790, 0.500)
Te (0.710, 0.210, 0.500)

***

(11)
The following is a PBE calculation of crystalline CaCr2Te at its relaxed geometry, from Alexandria.

Calculated values
Formation energy from raw total energies: 0.4996 eV per atom
Fermi-level density of states: 5.64 states/eV per cell

a = 10.031 Å, b = 10.031 Å, c = 10.031 Å
α = 153.90°, β = 153.90°, γ = 37.25°
Atoms (fractional coordinates):
Ca (0.375, 0.625, 0.750)
Ca (0.625, 0.375, 0.250)
Cr (0.000, 0.000, 0.000)
Cr (0.000, 0.000, 0.500)
Cr (0.000, 0.500, 0.000)
Cr (0.500, 0.000, 0.500)
Te (0.125, 0.875, 0.250)
Te (0.875, 0.125, 0.750)

***

(12)
The following is a PBE calculation of crystalline CaCr2Te at its relaxed geometry, from Alexandria.

Calculated values
Formation energy from raw total energies: 0.4527 eV per atom
Fermi-level density of states: 2.72 states/eV per cell

a = 6.264 Å, b = 6.264 Å, c = 4.176 Å
α = 109.45°, β = 109.45°, γ = 121.36°
Atoms (fractional coordinates):
Ca (0.000, 0.000, 0.000)
Cr (0.000, 0.500, 0.500)
Cr (0.500, 0.000, 0.500)
Te (0.500, 0.500, 0.000)

***

(13)
The following is a PBE calculation of crystalline CaCr2Te at its relaxed geometry, from Alexandria.

Calculated values
Formation energy from raw total energies: 0.4703 eV per atom
Fermi-level density of states: 2.11 states/eV per cell

a = 5.166 Å, b = 5.166 Å, c = 5.166 Å
α = 60.00°, β = 60.00°, γ = 60.00°
Atoms (fractional coordinates):
Ca (0.000, 0.000, 0.000)
Cr (0.500, 0.500, 0.500)
Cr (0.750, 0.750, 0.750)
Te (0.250, 0.250, 0.250)

***

(14)
The following is a PBE calculation of crystalline CaCr2Te4 at its relaxed geometry, from Alexandria.

Calculated values
Formation energy from raw total energies: 0.0574 eV per atom
Fermi-level density of states: 4.73 states/eV per cell

a = 8.186 Å, b = 8.186 Å, c = 8.186 Å
α = 138.76°, β = 138.76°, γ = 59.74°
Atoms (fractional coordinates):
Ca (0.000, 0.000, 0.000)
Cr (0.405, 0.405, 0.000)
Cr (0.595, 0.595, 0.000)
Te (0.000, 0.500, 0.500)
Te (0.230, 0.230, 0.000)
Te (0.500, 0.000, 0.500)
Te (0.770, 0.770, 0.000)

***

(15)
The following is a PBE calculation of crystalline Ca2CrTe2 at its relaxed geometry, from Alexandria.

Calculated values
Formation energy from raw total energies: -0.0523 eV per atom
Distance to the lowest polymorph of the same formula: 0.6555 eV/atom
Fermi-level density of states: 2.68 states/eV per cell

a = 8.745 Å, b = 8.745 Å, c = 8.745 Å
α = 149.71°, β = 149.71°, γ = 43.37°
Atoms (fractional coordinates):
Ca (0.110, 0.110, 0.000)
Ca (0.890, 0.890, 0.000)
Cr (0.500, 0.500, 0.000)
Te (0.250, 0.750, 0.500)
Te (0.750, 0.250, 0.500)

***

(16)
The following is a PBE calculation of crystalline CaCrTe2 at its relaxed geometry, from Alexandria.

Calculated values
Formation energy from raw total energies: -0.4754 eV per atom
Distance to the lowest polymorph of the same formula: 0.2779 eV/atom
Fermi-level density of states: 0.50 states/eV per cell

a = 4.294 Å, b = 4.294 Å, c = 7.909 Å
α = 90.00°, β = 90.00°, γ = 121.04°
Atoms (fractional coordinates):
Ca (0.000, 0.000, 0.000)
Cr (0.000, 0.000, 0.500)
Te (0.500, 0.500, 0.275)
Te (0.500, 0.500, 0.725)

***

(17)
The following is a PBE calculation of crystalline Ca2CrTe2 at its relaxed geometry, from Alexandria.

Calculated values
Formation energy from raw total energies: -0.5405 eV per atom
Distance to the lowest polymorph of the same formula: 0.1673 eV/atom
Fermi-level density of states: 1.92 states/eV per cell

a = 8.605 Å, b = 8.605 Å, c = 4.056 Å
α = 90.00°, β = 90.00°, γ = 90.00°
Atoms (fractional coordinates):
Ca (0.144, 0.356, 0.000)
Ca (0.356, 0.856, 0.000)
Ca (0.644, 0.144, 0.000)
Ca (0.856, 0.644, 0.000)
Cr (0.000, 0.000, 0.000)
Cr (0.500, 0.500, 0.000)
Te (0.160, 0.660, 0.500)
Te (0.340, 0.160, 0.500)
Te (0.660, 0.840, 0.500)
Te (0.840, 0.340, 0.500)

***

(18)
The following is a PBE calculation of crystalline CaCrTe2 at its relaxed geometry, from Alexandria.

Calculated values
Formation energy from raw total energies: -0.5774 eV per atom
Distance to the lowest polymorph of the same formula: 0.1759 eV/atom
Fermi-level density of states: 4.10 states/eV per cell

a = 8.112 Å, b = 8.112 Å, c = 8.112 Å
α = 131.09°, β = 131.09°, γ = 71.67°
Atoms (fractional coordinates):
Ca (0.000, 0.000, 0.000)
Ca (0.750, 0.250, 0.500)
Cr (0.250, 0.750, 0.500)
Cr (0.500, 0.500, 0.000)
Te (0.174, 0.625, 0.049)
Te (0.375, 0.424, 0.549)
Te (0.576, 0.125, 0.951)
Te (0.875, 0.826, 0.451)

***

(19)
The following is a PBE calculation of crystalline CaCr2Te at its relaxed geometry, from Alexandria.

Calculated values
Formation energy from raw total energies: 0.3622 eV per atom
Fermi-level density of states: 1.48 states/eV per cell

a = 5.741 Å, b = 5.741 Å, c = 5.741 Å
α = 136.38°, β = 136.38°, γ = 63.40°
Atoms (fractional coordinates):
Ca (0.000, 0.000, 0.000)
Cr (0.250, 0.750, 0.500)
Cr (0.500, 0.500, 0.000)
Te (0.750, 0.250, 0.500)

***

(20)
The following is a PBE calculation of crystalline CaCr2Te at its relaxed geometry, from Alexandria.

Calculated values
Formation energy from raw total energies: 0.5749 eV per atom
Fermi-level density of states: 3.46 states/eV per cell

a = 9.143 Å, b = 9.143 Å, c = 9.143 Å
α = 23.55°, β = 23.55°, γ = 23.55°
Atoms (fractional coordinates):
Ca (0.000, 0.000, 0.000)
Cr (0.234, 0.234, 0.234)
Cr (0.766, 0.766, 0.766)
Te (0.500, 0.500, 0.500)